# YReGe2S, optimized geometry, DFT PBE
data_YReGe2S
_chemical_formula_sum 'Y1 Re1 Ge2 S1'
_cell_length_a 4.9694
_cell_length_b 4.9694
_cell_length_c 4.3186
_cell_angle_alpha 90.00
_cell_angle_beta 90.00
_cell_angle_gamma 90.00
_space_group_name_H-M_alt 'P 1'
_space_group_IT_number 1
_space_group_name_Hall 'P 1'
loop_
_atom_site_label
_atom_site_fract_x
_atom_site_fract_y
_atom_site_fract_z
Y1 0.0000 0.0000 0.0000
Re1 0.5000 0.5000 0.0000
Ge1 0.0000 0.5000 0.5000
Ge2 0.5000 0.0000 0.5000
S1 0.5000 0.5000 0.5000
# - E (eV per atom) = -6.11
# - crystal system = tetragonal
# - size of the total moment (μB per cell) = 0.00
# - formation energy from raw total energies (meV per atom) = 349.4
# - symmetry = P4/mmm, No. 123

---

# Zn2ReGeS, optimized geometry, DFT PBE
data_Zn2ReGeS
_chemical_formula_sum 'Zn2 Re1 Ge1 S1'
_cell_length_a 4.4167
_cell_length_b 4.4167
_cell_length_c 4.9454
_cell_angle_alpha 90.00
_cell_angle_beta 90.00
_cell_angle_gamma 90.00
_space_group_name_H-M_alt 'P 1'
_space_group_IT_number 1
_space_group_name_Hall 'P 1'
loop_
_atom_site_label
_atom_site_fract_x
_atom_site_fract_y
_atom_site_fract_z
Zn1 0.0000 0.5000 0.0000
Zn2 0.5000 0.0000 0.0000
Re1 0.0000 0.0000 0.5000
Ge1 0.5000 0.5000 0.5000
S1 0.5000 0.5000 0.0000
# - E (eV per atom) = -3.53
# - crystal system = tetragonal
# - size of the total moment (μB per cell) = 2.19
# - formation energy from raw total energies (meV per atom) = 1213.5
# - symmetry = P4/mmm, No. 123

---

# Re2GeSb, optimized geometry, DFT PBE
data_Re2GeSb
_chemical_formula_sum 'Re2 Ge1 Sb1'
_cell_length_a 4.5026
_cell_length_b 4.5026
_cell_length_c 4.5026
_cell_angle_alpha 60.00
_cell_angle_beta 60.00
_cell_angle_gamma 60.00
_space_group_name_H-M_alt 'P 1'
_space_group_IT_number 1
_space_group_name_Hall 'P 1'
loop_
_atom_site_label
_atom_site_fract_x
_atom_site_fract_y
_atom_site_fract_z
Re1 0.2500 0.2500 0.2500
Re2 0.7500 0.7500 0.7500
Ge1 0.0000 0.0000 0.0000
Sb1 0.5000 0.5000 0.5000
# - energy relative to the lowest polymorph listed for this composition (eV per formula unit) = 0.00
# - E (eV per atom) = -7.94
# - crystal system = cubic
# - size of the total moment (μB per cell) = 0.00
# - formation energy from raw total energies (meV per atom) = 464.8
# - symmetry = Fm-3m, No. 225

---

# Re3GeSb, optimized geometry, DFT PBE
data_Re3GeSb
_chemical_formula_sum 'Re3 Ge1 Sb1'
_cell_length_a 4.8815
_cell_length_b 4.8815
_cell_length_c 4.8815
_cell_angle_alpha 90.00
_cell_angle_beta 90.00
_cell_angle_gamma 90.00
_space_group_name_H-M_alt 'P 1'
_space_group_IT_number 1
_space_group_name_Hall 'P 1'
loop_
_atom_site_label
_atom_site_fract_x
_atom_site_fract_y
_atom_site_fract_z
Re1 0.0000 0.0000 0.5000
Re2 0.0000 0.5000 0.0000
Re3 0.5000 0.0000 0.0000
Ge1 0.5000 0.5000 0.5000
Sb1 0.0000 0.0000 0.0000
# - energy relative to the lowest polymorph listed for this composition (eV per formula unit) = 4.56
# - E (eV per atom) = -6.58
# - crystal system = cubic
# - size of the total moment (μB per cell) = 3.09
# - formation energy from raw total energies (meV per atom) = 2638.1
# - symmetry = Pm-3m, No. 221

---

# Re3GeSb, optimized geometry, DFT PBE
data_Re3GeSb
_chemical_formula_sum 'Re3 Ge1 Sb1'
_cell_length_a 4.6160
_cell_length_b 4.6160
_cell_length_c 4.6160
_cell_angle_alpha 90.00
_cell_angle_beta 90.00
_cell_angle_gamma 90.00
_space_group_name_H-M_alt 'P 1'
_space_group_IT_number 1
_space_group_name_Hall 'P 1'
loop_
_atom_site_label
_atom_site_fract_x
_atom_site_fract_y
_atom_site_fract_z
Re1 0.0000 0.0000 0.5000
Re2 0.0000 0.5000 0.0000
Re3 0.5000 0.0000 0.0000
Ge1 0.0000 0.0000 0.0000
Sb1 0.5000 0.5000 0.5000
# - energy relative to the lowest polymorph listed for this composition (eV per formula unit) = 0.00
# - E (eV per atom) = -7.49
# - crystal system = cubic
# - size of the total moment (μB per cell) = 2.56
# - formation energy from raw total energies (meV per atom) = 1726.8
# - symmetry = Pm-3m, No. 221

---

# ReGe3Sb, optimized geometry, DFT PBE
data_ReGe3Sb
_chemical_formula_sum 'Re1 Ge3 Sb1'
_cell_length_a 4.9009
_cell_length_b 4.9009
_cell_length_c 4.9009
_cell_angle_alpha 90.00
_cell_angle_beta 90.00
_cell_angle_gamma 90.00
_space_group_name_H-M_alt 'P 1'
_space_group_IT_number 1
_space_group_name_Hall 'P 1'
loop_
_atom_site_label
_atom_site_fract_x
_atom_site_fract_y
_atom_site_fract_z
Re1 0.0000 0.0000 0.0000
Ge1 0.0000 0.0000 0.5000
Ge2 0.0000 0.5000 0.0000
Ge3 0.5000 0.0000 0.0000
Sb1 0.5000 0.5000 0.5000
# - energy relative to the lowest polymorph listed for this composition (eV per formula unit) = 0.00
# - E (eV per atom) = -5.60
# - crystal system = cubic
# - size of the total moment (μB per cell) = 1.36
# - formation energy from raw total energies (meV per atom) = 482.6
# - symmetry = Pm-3m, No. 221

---

# Re2GeSb, optimized geometry, DFT PBE
data_Re2GeSb
_chemical_formula_sum 'Re4 Ge2 Sb2'
_cell_length_a 9.3670
_cell_length_b 9.3670
_cell_length_c 9.3670
_cell_angle_alpha 154.32
_cell_angle_beta 154.32
_cell_angle_gamma 36.64
_space_group_name_H-M_alt 'P 1'
_space_group_IT_number 1
_space_group_name_Hall 'P 1'
loop_
_atom_site_label
_atom_site_fract_x
_atom_site_fract_y
_atom_site_fract_z
Re1 0.0496 0.6250 0.9246
Re2 0.3750 0.2996 0.4246
Re3 0.7004 0.1250 0.0754
Re4 0.8750 0.9504 0.5754
Ge1 0.0000 0.0000 0.0000
Ge2 0.7500 0.2500 0.5000
Sb1 0.2500 0.7500 0.5000
Sb2 0.5000 0.5000 0.0000
# - energy relative to the lowest polymorph listed for this composition (eV per formula unit) = 1.11
# - E (eV per atom) = -7.67
# - crystal system = tetragonal
# - size of the total moment (μB per cell) = 0.00
# - formation energy from raw total energies (meV per atom) = 743.6
# - symmetry = I-42d, No. 122

---

# ReGe2Sb2, optimized geometry, DFT PBE
data_ReGe2Sb2
_chemical_formula_sum 'Re2 Ge4 Sb4'
_cell_length_a 6.9060
_cell_length_b 6.9060
_cell_length_c 4.8054
_cell_angle_alpha 90.00
_cell_angle_beta 90.00
_cell_angle_gamma 90.00
_space_group_name_H-M_alt 'P 1'
_space_group_IT_number 1
_space_group_name_Hall 'P 1'
loop_
_atom_site_label
_atom_site_fract_x
_atom_site_fract_y
_atom_site_fract_z
Re1 0.0000 0.0000 0.0000
Re2 0.5000 0.5000 0.0000
Ge1 0.1631 0.3369 0.5000
Ge2 0.3369 0.8369 0.5000
Ge3 0.6631 0.1631 0.5000
Ge4 0.8369 0.6631 0.5000
Sb1 0.1515 0.6515 0.0000
Sb2 0.3485 0.1515 0.0000
Sb3 0.6515 0.8485 0.0000
Sb4 0.8485 0.3485 0.0000
# - energy relative to the lowest polymorph listed for this composition (eV per formula unit) = 0.69
# - E (eV per atom) = -5.31
# - crystal system = tetragonal
# - size of the total moment (μB per cell) = 0.06
# - formation energy from raw total energies (meV per atom) = 677.1
# - symmetry = P4/mbm, No. 127

---

# ReGe2Sb2, optimized geometry, DFT PBE
data_ReGe2Sb2
_chemical_formula_sum 'Re1 Ge2 Sb2'
_cell_length_a 9.2355
_cell_length_b 9.2355
_cell_length_c 9.2355
_cell_angle_alpha 158.29
_cell_angle_beta 158.29
_cell_angle_gamma 30.90
_space_group_name_H-M_alt 'P 1'
_space_group_IT_number 1
_space_group_name_Hall 'P 1'
loop_
_atom_site_label
_atom_site_fract_x
_atom_site_fract_y
_atom_site_fract_z
Re1 0.0000 0.0000 0.0000
Ge1 0.2500 0.7500 0.5000
Ge2 0.7500 0.2500 0.5000
Sb1 0.4120 0.4120 0.0000
Sb2 0.5880 0.5880 0.0000
# - energy relative to the lowest polymorph listed for this composition (eV per formula unit) = 0.00
# - E (eV per atom) = -5.45
# - crystal system = tetragonal
# - size of the total moment (μB per cell) = 0.00
# - formation energy from raw total energies (meV per atom) = 538.5
# - symmetry = I4/mmm, No. 139

---

# ReGeSb2, optimized geometry, DFT PBE
data_ReGeSb2
_chemical_formula_sum 'Re2 Ge2 Sb4'
_cell_length_a 7.5446
_cell_length_b 7.5446
_cell_length_c 7.5446
_cell_angle_alpha 131.59
_cell_angle_beta 131.59
_cell_angle_gamma 70.88
_space_group_name_H-M_alt 'P 1'
_space_group_IT_number 1
_space_group_name_Hall 'P 1'
loop_
_atom_site_label
_atom_site_fract_x
_atom_site_fract_y
_atom_site_fract_z
Re1 0.0000 0.0000 0.0000
Re2 0.7500 0.2500 0.5000
Ge1 0.2500 0.7500 0.5000
Ge2 0.5000 0.5000 0.0000
Sb1 0.1003 0.6250 0.9753
Sb2 0.3750 0.3503 0.4753
Sb3 0.6497 0.1250 0.0247
Sb4 0.8750 0.8997 0.5247
# - E (eV per atom) = -5.62
# - crystal system = tetragonal
# - size of the total moment (μB per cell) = 0.00
# - formation energy from raw total energies (meV per atom) = 710.4
# - symmetry = I-42d, No. 122

---

# ReTcGe2Sb, optimized geometry, DFT PBE
data_ReTcGe2Sb
_chemical_formula_sum 'Re1 Tc1 Ge2 Sb1'
_cell_length_a 4.6979
_cell_length_b 4.6979
_cell_length_c 5.2734
_cell_angle_alpha 90.00
_cell_angle_beta 90.00
_cell_angle_gamma 90.00
_space_group_name_H-M_alt 'P 1'
_space_group_IT_number 1
_space_group_name_Hall 'P 1'
loop_
_atom_site_label
_atom_site_fract_x
_atom_site_fract_y
_atom_site_fract_z
Re1 0.0000 0.0000 0.0000
Tc1 0.5000 0.5000 0.5000
Ge1 0.0000 0.5000 0.5000
Ge2 0.5000 0.0000 0.5000
Sb1 0.5000 0.5000 0.0000
# - E (eV per atom) = -5.99
# - crystal system = tetragonal
# - size of the total moment (μB per cell) = 3.33
# - formation energy from raw total energies (meV per atom) = 1248.9
# - symmetry = P4/mmm, No. 123

---

# ReGeSbTe2, optimized geometry, DFT PBE
data_ReGeSbTe2
_chemical_formula_sum 'Re1 Ge1 Sb1 Te2'
_cell_length_a 5.2697
_cell_length_b 5.2697
_cell_length_c 5.1507
_cell_angle_alpha 90.00
_cell_angle_beta 90.00
_cell_angle_gamma 90.00
_space_group_name_H-M_alt 'P 1'
_space_group_IT_number 1
_space_group_name_Hall 'P 1'
loop_
_atom_site_label
_atom_site_fract_x
_atom_site_fract_y
_atom_site_fract_z
Re1 0.0000 0.0000 0.0000
Ge1 0.5000 0.5000 0.5000
Sb1 0.0000 0.0000 0.5000
Te1 0.0000 0.5000 0.0000
Te2 0.5000 0.0000 0.0000
# - energy relative to the lowest polymorph listed for this composition (eV per formula unit) = 0.00
# - E (eV per atom) = -4.65
# - crystal system = tetragonal
# - size of the total moment (μB per cell) = 0.00
# - formation energy from raw total energies (meV per atom) = 848.1
# - symmetry = P4/mmm, No. 123